SmYGePt, relaxed, DFT GGA-PBE; raw total energy = -26.04 eV for the cell shown; formation energy from the elements = -1.051 eV per atom
1.0
3.980 0.000 0.000
0.000 4.310 0.000
-1.990 0.000 5.496
Sm Y Ge Pt
1 1 1 1
direct
0.142 0.000 0.283
0.863 0.500 0.726
0.579 0.500 0.158
0.416 0.000 0.832